Record 1
VASP calculation (GGA-PBE) on crystalline NbTlFeHg at its relaxed geometry.

For the volume, the calculation gives 71.7 Å³/f.u. For the total energy, the calculation gives -4.638 eV per atom. As for the symmetry: F-43m, No. 216.

Lattice parameters (Å, degrees): 4.6624 4.6624 4.6624 60.00 60.00 60.00
Fractional coordinates of all 4 atoms:
Tl (0.0000, 0.0000, 0.0000)
Nb (0.2500, 0.2500, 0.2500)
Fe (0.7500, 0.7500, 0.7500)
Hg (0.5000, 0.5000, 0.5000)


Record 2
VASP calculation (GGA-PBE) on crystalline NbTlFeHg at its relaxed geometry.

For the volume, the calculation gives 72.8 Å³/f.u. For the total energy, the calculation gives -4.609 eV per atom. As for the symmetry: F-43m, No. 216.

Lattice parameters (Å, degrees): 4.6868 4.6868 4.6868 60.00 60.00 60.00
Fractional coordinates of all 4 atoms:
Hg (0.2500, 0.2500, 0.2500)
Fe (0.7500, 0.7500, 0.7500)
Tl (0.0000, 0.0000, 0.0000)
Nb (0.5000, 0.5000, 0.5000)


Record 3
VASP calculation (GGA-PBE) on crystalline NdFe3Hg at its relaxed geometry.

For the volume, the calculation gives 93.1 Å³/f.u. For the total energy, the calculation gives -5.665 eV per atom. As for the symmetry: Amm2, No. 38.

Lattice parameters (Å, degrees): 3.8039 13.4757 13.4757 15.65 90.00 90.00
Fractional coordinates of all 10 atoms:
Hg (0.5000, 0.3799, 0.3799)
Hg (0.5000, 0.6166, 0.6166)
Fe (0.5000, 0.0407, 0.0407)
Fe (0.5000, 0.9554, 0.9554)
Fe (0.5000, 0.7260, 0.7260)
Fe (0.5000, 0.2707, 0.2707)
Fe (0.0000, 0.4553, 0.4553)
Fe (0.0000, 0.5415, 0.5415)
Nd (0.0000, 0.8134, 0.8134)
Nd (0.0000, 0.1833, 0.1833)


Record 4
VASP calculation (GGA-PBE) on crystalline NdFeHg at its relaxed geometry.

For the volume, the calculation gives 81.6 Å³/f.u. For the total energy, the calculation gives -4.063 eV per atom. As for the symmetry: F-43m, No. 216.

Lattice parameters (Å, degrees): 4.8691 4.8691 4.8691 60.00 60.00 60.00
Fractional coordinates of all 3 atoms:
Hg (0.0000, 0.0000, 0.0000)
Nd (0.7500, 0.7500, 0.7500)
Fe (0.2500, 0.2500, 0.2500)


Record 5
VASP calculation (GGA-PBE) on crystalline Nd6Fe13Hg at its relaxed geometry.

For the volume, the calculation gives 370.1 Å³/f.u. For the total energy, the calculation gives -6.891 eV per atom. As for the symmetry: I4/mcm, No. 140.

Lattice parameters (Å, degrees): 12.8806 12.8806 12.8806 143.83 143.83 52.09
Fractional coordinates of all 40 atoms:
Nd (0.4768, 0.9768, 0.8254)
Nd (0.6059, 0.6059, 0.0000)
Nd (0.1514, 0.6514, 0.1746)
Nd (0.0232, 0.8486, 0.5000)
Nd (0.3941, 0.3941, 0.0000)
Nd (0.3486, 0.5232, 0.5000)
Nd (0.6514, 0.4768, 0.5000)
Nd (0.9768, 0.1514, 0.5000)
Nd (0.8941, 0.8941, 0.0000)
Nd (0.5232, 0.0232, 0.1746)
Nd (0.1059, 0.1059, 0.0000)
Nd (0.8486, 0.3486, 0.8254)
Hg (0.7500, 0.7500, 0.0000)
Hg (0.2500, 0.2500, 0.0000)
Fe (0.5666, 0.7099, 0.2765)
Fe (0.0666, 0.7901, 0.8567)
Fe (0.6197, 0.1197, 0.8577)
Fe (0.4812, 0.2083, 0.5000)
Fe (0.7901, 0.9334, 0.7235)
Fe (0.7917, 0.2917, 0.2729)
Fe (0.7083, 0.9812, 0.5000)
Fe (0.2380, 0.3803, 0.5000)
Fe (0.8803, 0.7380, 0.5000)
Fe (0.0188, 0.5188, 0.7271)
Fe (0.7099, 0.4334, 0.1433)
Fe (0.5188, 0.7917, 0.5000)
Fe (0.2901, 0.5666, 0.8567)
Fe (0.0000, 0.5000, 0.5000)
Fe (0.9334, 0.2099, 0.1433)
Fe (0.1197, 0.2620, 0.5000)
Fe (0.2099, 0.0666, 0.2765)
Fe (0.2620, 0.7620, 0.1423)
Fe (0.3803, 0.8803, 0.1423)
Fe (0.2083, 0.7083, 0.7271)
Fe (0.9812, 0.4812, 0.2729)
Fe (0.5000, 0.0000, 0.5000)
Fe (0.2917, 0.0188, 0.5000)
Fe (0.7380, 0.2380, 0.8577)
Fe (0.7620, 0.6197, 0.5000)
Fe (0.4334, 0.2901, 0.7235)


Record 6
VASP calculation (GGA-PBE) on crystalline FeNiHgSb at its relaxed geometry.

For the volume, the calculation gives 65.2 Å³/f.u. For the total energy, the calculation gives -4.283 eV per atom. As for the symmetry: F-43m, No. 216.

Lattice parameters (Å, degrees): 4.5173 4.5173 4.5173 60.00 60.00 60.00
Fractional coordinates of all 4 atoms:
Ni (0.2500, 0.2500, 0.2500)
Fe (0.7500, 0.7500, 0.7500)
Hg (0.5000, 0.5000, 0.5000)
Sb (0.0000, 0.0000, 0.0000)


Record 7
VASP calculation (GGA-PBE) on crystalline FeNiSnHg at its relaxed geometry.

For the volume, the calculation gives 64.8 Å³/f.u. For the total energy, the calculation gives -4.305 eV per atom. As for the symmetry: F-43m, No. 216.

Lattice parameters (Å, degrees): 4.5083 4.5083 4.5083 60.00 60.00 60.00
Fractional coordinates of all 4 atoms:
Fe (0.7500, 0.7500, 0.7500)
Hg (0.5000, 0.5000, 0.5000)
Ni (0.2500, 0.2500, 0.2500)
Sn (0.0000, 0.0000, 0.0000)


Record 8
VASP calculation (GGA-PBE) on crystalline ZnFeNiHg at its relaxed geometry.

For the volume, the calculation gives 57.9 Å³/f.u. For the total energy, the calculation gives -3.638 eV per atom. As for the symmetry: F-43m, No. 216.

Lattice parameters (Å, degrees): 4.3436 4.3436 4.3436 60.00 60.00 60.00
Fractional coordinates of all 4 atoms:
Fe (0.7500, 0.7500, 0.7500)
Ni (0.5000, 0.5000, 0.5000)
Hg (0.2500, 0.2500, 0.2500)
Zn (0.0000, 0.0000, 0.0000)


Record 9
VASP calculation (GGA-PBE) on crystalline ZnFeNiHg at its relaxed geometry.

For the volume, the calculation gives 57.7 Å³/f.u. For the total energy, the calculation gives -3.630 eV per atom. As for the symmetry: F-43m, No. 216.

Lattice parameters (Å, degrees): 4.3369 4.3369 4.3369 60.00 60.00 60.00
Fractional coordinates of all 4 atoms:
Fe (0.7500, 0.7500, 0.7500)
Zn (0.0000, 0.0000, 0.0000)
Ni (0.2500, 0.2500, 0.2500)
Hg (0.5000, 0.5000, 0.5000)


Record 10
VASP calculation (GGA-PBE) on crystalline NpFeHg at its relaxed geometry.

For the volume, the calculation gives 61.1 Å³/f.u. For the total energy, the calculation gives -6.678 eV per atom. As for the symmetry: F-43m, No. 216.

Lattice parameters (Å, degrees): 4.4212 4.4212 4.4212 60.00 60.00 60.00
Fractional coordinates of all 3 atoms:
Hg (0.2500, 0.2500, 0.2500)
Np (0.7500, 0.7500, 0.7500)
Fe (0.0000, 0.0000, 0.0000)


Record 11
VASP calculation (GGA-PBE) on crystalline FeSnHgOs at its relaxed geometry.

For the volume, the calculation gives 68.0 Å³/f.u. For the total energy, the calculation gives -5.335 eV per atom. As for the symmetry: F-43m, No. 216.

Lattice parameters (Å, degrees): 4.5819 4.5819 4.5819 60.00 60.00 60.00
Fractional coordinates of all 4 atoms:
Sn (0.0000, 0.0000, 0.0000)
Os (0.2500, 0.2500, 0.2500)
Fe (0.7500, 0.7500, 0.7500)
Hg (0.5000, 0.5000, 0.5000)


Record 12
VASP calculation (GGA-PBE) on crystalline TlFeHgOs at its relaxed geometry.

For the volume, the calculation gives 70.2 Å³/f.u. For the total energy, the calculation gives -4.642 eV per atom. As for the symmetry: F-43m, No. 216.

Lattice parameters (Å, degrees): 4.6305 4.6305 4.6305 60.00 60.00 60.00
Fractional coordinates of all 4 atoms:
Tl (0.0000, 0.0000, 0.0000)
Fe (0.7500, 0.7500, 0.7500)
Os (0.2500, 0.2500, 0.2500)
Hg (0.5000, 0.5000, 0.5000)


What did the tenth record say?
VASP calculation (GGA-PBE) on crystalline NpFeHg at its relaxed geometry.

For the volume, the calculation gives 61.1 Å³/f.u. For the total energy, the calculation gives -6.678 eV per atom. As for the symmetry: F-43m, No. 216.

Lattice parameters (Å, degrees): 4.4212 4.4212 4.4212 60.00 60.00 60.00
Fractional coordinates of all 3 atoms:
Hg (0.2500, 0.2500, 0.2500)
Np (0.7500, 0.7500, 0.7500)
Fe (0.0000, 0.0000, 0.0000)